DFT (PBE with a Hubbard U) results for a relaxed LiCr3O8 crystal.

The structure in extended XYZ format:
```
24
Lattice="5.5320 -0.0002 0.0000 0.0007 6.4529 -0.0005 -0.0001 0.0005 8.3987" Properties=species:S:1:pos:R:3 pbc="T T T"
O 0.0006 3.0374 2.0158
O 2.7663 3.6041 2.2219
O 2.7660 2.8489 6.1755
O 4.1682 4.9908 0.2750
O 4.1670 1.4621 8.1233
O 1.3649 1.4625 8.1233
O 4.1310 4.6885 4.4746
O 2.7672 6.2637 2.1827
O 0.0005 0.3777 1.9769
O 2.7657 0.1891 6.2156
O 5.5321 3.4158 6.3826
O 0.0007 6.0757 6.4215
O 1.3661 4.9914 0.2744
O 1.4010 4.6883 4.4741
O 4.1312 1.7650 3.9239
O 1.4014 1.7648 3.9241
Cr 5.5322 4.7172 5.4491
Cr 0.0003 1.7360 2.9493
Cr 2.7670 4.9622 1.2494
Cr 2.7660 1.4910 7.1485
Cr 2.7662 3.2267 4.1988
Cr 0.0002 0.0001 0.0001
Li 0.0004 3.2262 -0.0002
Li 2.7660 6.4528 4.1991
```

Computed properties:
Space group: Pnnm
Total magnetic moment in μB/f.u.: 2.998
Energy in eV/cell: -163.5
Theoretical density in g/cm3: 3.2